# 1
Here is a crystal of Al2Ga2Au relaxed with PBEsol from Alexandria. Energies are from SCAN.

Size of the total moment = 0.0 μB/f.u.
Uncorrected energy = -23.45 eV/atom
Energy of formation = 0.1 eV per formula unit

Unit cell a=3.6470 b=3.6470 c=13.2263 alpha=90.00 beta=90.00 gamma=90.00
With the nearest neighbours (Å) after each atom.
Space group I4/mmm (No. 139)
Unique sites:
Al  0.0000  0.0000  0.0973  1 Al 2.57, 4 Ga 2.72, 4 Au 2.88
Ga  0.0000  0.5000  0.2500  4 Ga 2.58, 4 Al 2.72
Au  0.0000  0.0000  0.5000  8 Al 2.88

# 2
Here is a crystal of Ti2SiBr relaxed with PBEsol from Alexandria. Energies are from SCAN.

Size of the total moment = 0.0 μB/f.u.
Raw formation energy = -0.12 eV/atom
Uncorrected energy = -15.50 eV/atom

Unit cell a=6.3488 b=6.3488 c=6.3488 alpha=90.00 beta=90.00 gamma=90.00
With the nearest neighbours (Å) after each atom.
Space group Fm-3m (No. 225)
Unique sites:
Ti  0.2500  0.2500  0.2500  4 Br 2.75, 4 Si 2.75
Si  0.0000  0.0000  0.0000  8 Ti 2.75
Br  0.0000  0.0000  0.5000  8 Ti 2.75

# 3
Here is a crystal of YTlIr2 relaxed with PBEsol from Alexandria. Energies are from SCAN.

Size of the total moment = 0.0 μB/f.u.
Uncorrected energy = -60.16 eV/atom
Energy of formation = 1.7 eV per formula unit

Unit cell a=3.1423 b=3.1423 c=27.0453 alpha=90.00 beta=90.00 gamma=120.00
With the nearest neighbours (Å) after each atom.
Space group R3m (No. 160, hexagonal axes)
Unique sites:
Y  0.0000  0.0000  0.0000  3 Ir 2.74
Tl  0.0000  0.0000  0.2318  3 Ir 2.81, 6 Tl 3.14
Ir  0.0000  0.0000  0.4856  3 Ir 2.75, 3 Tl 2.81
Ir  0.0000  0.0000  0.7428  3 Y 2.74, 3 Ir 2.75